DFT (GGA-PBE) results for a relaxed structure of Tb7Co2Te2.

**E_tot**: -5.41 eV/atom
**Space-group type**: Imm2 (44)

Unit cell a=3.8571 b=9.4299 c=9.4299 alpha=60.73 beta=78.20 gamma=78.20
Atoms (fractional coordinates):
Tb: 0.8155 0.0874 0.2817
Tb: 0.8508 0.4044 0.8940
Tb: 0.5000 0.0245 0.9755
Tb: 0.6336 0.4717 0.2612
Tb: 0.3664 0.7388 0.5283
Tb: 0.1845 0.7183 0.9126
Tb: 0.1492 0.1060 0.5956
Co: 0.7374 0.8553 0.6699
Co: 0.2626 0.3301 0.1447
Te: 0.0000 0.7586 0.2414
Te: 0.5000 0.3588 0.6412

***

DFT (GGA-PBE) results for a relaxed structure of Tb3CoTe.

**Space-group type**: P2_1/m (11)
**E above lowest polymorph**: 0 meV/atom

Unit cell a=3.9471 b=8.4956 c=8.1393 alpha=106.18 beta=90.00 gamma=90.00
Atoms (fractional coordinates):
Tb: 0.2500 0.5928 0.3093
Tb: 0.7500 0.4072 0.6907
Tb: 0.2500 0.0697 0.6974
Tb: 0.7500 0.2503 0.0663
Tb: 0.7500 0.9303 0.3026
Tb: 0.2500 0.7497 0.9337
Co: 0.7500 0.5794 0.0581
Co: 0.2500 0.4206 0.9419
Te: 0.7500 0.7620 0.6160
Te: 0.2500 0.2380 0.3840

***

Number 1: calculated volume 26.4 Å³/atom, Fermi-level density of states 9.8 states/eV/f.u.. Number 2: calculated volume 26.2 Å³/atom, Fermi-level density of states 4.2 states/eV/f.u..